Run P
A relaxed structure of LiMn2I6. Source: Alexandria, functional PBE.

Output
DOS at the Fermi energy = 0.36 states/eV/atom

a b c (Å): 14.462 4.596 10.817
angles (deg): 90.00 99.13 90.00
Space group C2/m (No. 12)
Symmetry-distinct sites (fractional):
Li: 0.000 0.000 0.000 (multiplicity 2)
Mn: 0.234 0.500 0.327 (multiplicity 4)
I: 0.112 0.500 0.110 (multiplicity 4)
I: 0.113 0.000 0.769 (multiplicity 4)
I: 0.154 0.000 0.420 (multiplicity 4)

Run Q
A relaxed structure of LiMn2I6. Source: Alexandria, functional PBE.

Output
DOS at the Fermi energy = 0.93 states/eV/atom

a b c (Å): 12.3203 12.3203 7.5504
angles (deg): 90.00 90.00 120.00
Space group P-3m1 (No. 164)
Symmetry-distinct sites (fractional):
Li: 0.0000 0.0000 0.0000 (multiplicity 1)
Li: 0.3333 0.6667 0.9982 (multiplicity 2)
Mn: 0.0000 0.3335 0.0000 (multiplicity 6)
I: 0.1024 0.5512 0.2172 (multiplicity 6)
I: 0.1157 0.2313 0.2174 (multiplicity 6)
I: 0.2176 0.4352 0.7818 (multiplicity 6)

Which is the most stable structure? run Q is the most stable.